A relaxed TmPuZnIr crystal. Source: the Alexandria database, functional PBE.

Output
The volume is 83 Å³/f.u. The formation energy is -0.45 eV per atom. As for the density of states at the Fermi level: 29.3 states/eV/cell.

a = 6.924 Å, b = 6.924 Å, c = 6.924 Å
α = 90.00°, β = 90.00°, γ = 90.00°
Space group F-43m (No. 216)
Symmetry-distinct sites (fractional):
Tm: 0.000 0.000 0.000
Pu: 0.000 0.000 0.500
Zn: 0.250 0.250 0.750
Ir: 0.250 0.250 0.250

A relaxed PuUIr2 crystal. Source: the Alexandria database, functional PBE.

Output
The volume is 79 Å³/f.u. The formation energy is -0.43 eV per atom. As for the density of states at the Fermi level: 9.9 states/eV/cell.

a = 3.632 Å, b = 3.632 Å, c = 6.009 Å
α = 90.00°, β = 90.00°, γ = 90.00°
Space group P4/mmm (No. 123)
Symmetry-distinct sites (fractional):
Pu: 0.000 0.000 0.000
U: 0.000 0.000 0.500
Ir: 0.500 0.500 0.255

A relaxed PuUIr crystal. Source: the Alexandria database, functional PBE.

Output
The calculation puts the excess energy over the best structure of this formula in the dataset at 0.0942 eV/atom. The volume is 62 Å³/f.u. The formation energy is -0.23 eV per atom. As for the density of states at the Fermi level: 28.8 states/eV/cell.

a = 9.937 Å, b = 4.368 Å, c = 5.896 Å
α = 90.00°, β = 104.79°, γ = 90.00°
Space group C2/m (No. 12)
Symmetry-distinct sites (fractional):
Pu: 0.017 0.000 0.262
U: 0.246 0.500 0.126
Ir: 0.164 0.500 0.569

A relaxed PuUIr crystal. Source: the Alexandria database, functional PBE.

Output
The calculation puts the excess energy over the best structure of this formula in the dataset at 0.2888 eV/atom. The volume is 63 Å³/f.u. The formation energy is -0.03 eV per atom. As for the density of states at the Fermi level: 67.0 states/eV/cell.

a = 5.469 Å, b = 8.054 Å, c = 11.475 Å
α = 90.00°, β = 90.00°, γ = 90.00°
Space group Fmmm (No. 69)
Symmetry-distinct sites (fractional):
Pu: 0.000 0.164 0.000
U: 0.250 0.250 0.250
Ir: 0.000 0.000 0.383